This record from Alexandria via LeMat-Bulk describes PmPr2RuO8 after structural relaxation. The functional is PBE.

Results
Its energy relative to the elements, uncorrected is -2.25 eV/atom. The energy comes out at -7.5185 eV/atom. Its space group is P-1, No. 2. The total magnetization is 1.04 μB per cell.

Cell lengths 5.1616, 5.2735, 7.0241 Å; angles 89.94, 89.94, 90.11 degrees
With the nearest neighbours (Å) after each atom.
Positions (direct):
Pm  0.0000  0.0000  0.5000  6 O 2.27-2.46
Pr  0.4993  0.4995  0.7524  6 O 2.27-2.52
Pr  0.5007  0.5005  0.2476  6 O 2.27-2.52
Ru  0.0000  0.0000  0.0000  6 O 1.87-1.95
O  0.1790  0.8231  0.2046  1 Ru 1.95
O  0.7443  0.7477  0.9994  1 Ru 1.87
O  0.8201  0.1757  0.2048  1 Ru 1.95
O  0.8210  0.1769  0.7954  1 Ru 1.95
O  0.2557  0.2523  0.0006  1 Ru 1.87
O  0.1799  0.8243  0.7952  1 Ru 1.95
O  0.6931  0.6918  0.5001  1 Pm 2.27, 2 Pr 2.27
O  0.3069  0.3082  0.4999  1 Pm 2.27, 2 Pr 2.27